No. 1
PBE Cs2Se2O, optimized geometry; ΔE_f (raw) = -0.548 eV per atom; electronic total energy = -3.275 eV per atom; energy above the most stable polymorph in this dataset = 0.00 eV/f.u.
1.0
7.043 0.000 0.000
0.000 7.043 0.000
0.000 0.000 7.016
Cs Se O
4 4 2
Cartesian
0.000 3.521 1.754 Cs
0.000 3.521 5.262 Cs
3.521 0.000 1.754 Cs
3.521 0.000 5.262 Cs
0.000 0.000 1.380 Se
0.000 0.000 5.636 Se
3.521 3.521 2.128 Se
3.521 3.521 4.888 Se
0.000 0.000 3.508 O
3.521 3.521 0.000 O



No. 2
PBE AlCdAg5, optimized geometry; electronic total energy = -2.709 eV per atom; formation energy = -0.007 eV/atom; energy above the most stable polymorph in this dataset = 0.00 eV/f.u.
1.0
3.689 -3.216 0.000
3.689 3.216 0.000
0.000 0.000 10.980
Al Cd Ag
2 2 10
Cartesian
0.000 0.000 0.000 Al
0.000 0.000 5.490 Al
3.689 0.944 8.235 Cd
3.689 -0.944 2.745 Cd
3.689 2.760 2.745 Ag
2.201 0.920 1.180 Ag
2.201 0.920 4.310 Ag
2.201 -0.920 6.670 Ag
2.201 -0.920 9.800 Ag
5.178 0.920 1.180 Ag
5.178 0.920 4.310 Ag
5.178 -0.920 6.670 Ag
5.178 -0.920 9.800 Ag
3.689 -2.760 8.235 Ag



No. 3
PBE KRhBr2, optimized geometry; ΔE_f (raw) = -0.571 eV per atom; electronic total energy = -3.520 eV per atom; energy above the most stable polymorph in this dataset = 0.18 eV/f.u.
1.0
5.091 0.000 0.000
0.000 3.749 0.000
-2.495 0.000 6.192
K Rh Br
1 1 2
Cartesian
0.000 0.000 0.000 K
1.298 0.000 3.096 Rh
0.263 1.875 4.375 Br
2.333 1.875 1.816 Br



No. 4
PBE Sr2LaMn, optimized geometry; electronic total energy = -3.850 eV per atom; formation energy = 0.515 eV/atom; energy above the most stable polymorph in this dataset = 1.08 eV/f.u.
1.0
5.088 0.000 0.000
0.000 5.088 0.000
0.000 0.000 11.397
Sr La Mn
4 2 2
Cartesian
0.000 2.544 2.849 Sr
0.000 2.544 8.548 Sr
2.544 0.000 2.849 Sr
2.544 0.000 8.548 Sr
0.000 0.000 0.000 La
2.544 2.544 5.698 La
0.000 0.000 5.698 Mn
2.544 2.544 0.000 Mn



No. 5
PBE DyYSc3, optimized geometry; electronic total energy = -5.986 eV per atom; formation energy = 0.027 eV/atom; energy above the most stable polymorph in this dataset = 0.00 eV/f.u.
1.0
5.961 0.000 0.000
0.000 5.347 0.000
-2.980 0.000 8.622
Dy Y Sc
2 2 6
Cartesian
0.527 1.337 2.616 Dy
2.454 4.010 6.006 Dy
-0.527 4.010 7.735 Y
3.507 1.337 0.887 Y
-2.522 1.337 7.736 Sc
-0.530 4.010 4.281 Sc
0.459 1.337 5.985 Sc
2.522 4.010 2.637 Sc
3.510 1.337 4.341 Sc
5.503 4.010 0.886 Sc



No. 6
PBE MnMo2Ir, optimized geometry; electronic total energy = -9.931 eV per atom; formation energy = -0.007 eV/atom; energy above the most stable polymorph in this dataset = 0.26 eV/f.u.
1.0
2.756 0.000 0.000
0.000 2.756 0.000
0.000 0.000 7.509
Mn Mo Ir
1 2 1
Cartesian
0.000 0.000 0.000 Mn
1.378 1.378 1.752 Mo
1.378 1.378 5.757 Mo
0.000 0.000 3.754 Ir



No. 7
PBE Sr8Hg2Ge3, optimized geometry; electronic total energy = -2.528 eV per atom; formation energy = -0.381 eV/atom
1.0
5.571 -7.905 0.000
5.571 7.905 0.000
0.000 0.000 5.496
Sr Hg Ge
8 2 3
Cartesian
5.571 6.128 0.000 Sr
2.724 1.827 2.748 Sr
2.724 -1.827 2.748 Sr
5.571 1.917 0.000 Sr
5.571 -1.917 0.000 Sr
8.418 1.827 2.748 Sr
8.418 -1.827 2.748 Sr
5.571 -6.128 0.000 Sr
5.571 3.970 2.748 Hg
5.571 -3.970 2.748 Hg
0.000 0.000 2.748 Ge
2.975 0.000 0.000 Ge
8.167 0.000 0.000 Ge



No. 8
PBE CaPmLuTh, optimized geometry; electronic total energy = -4.474 eV per atom; formation energy = 0.199 eV/atom
1.0
8.126 0.000 0.000
0.000 8.126 0.000
0.000 0.000 8.126
Ca Pm Lu Th
4 4 4 4
Cartesian
0.000 0.000 0.000 Ca
0.000 4.063 4.063 Ca
4.063 0.000 4.063 Ca
4.063 4.063 0.000 Ca
2.032 2.032 2.032 Pm
2.032 6.095 6.095 Pm
6.095 2.032 6.095 Pm
6.095 6.095 2.032 Pm
0.000 0.000 4.063 Lu
0.000 4.063 0.000 Lu
4.063 0.000 0.000 Lu
4.063 4.063 4.063 Lu
2.032 2.032 6.095 Th
2.032 6.095 2.032 Th
6.095 2.032 2.032 Th
6.095 6.095 6.095 Th



Per-record D(E_F), states/eV/atom: 0.807 0.254 0.076 1.812 1.911 1.462 1.068 1.426